## FeRe2HO (PBE with a Hubbard U)

Data for a geometry-optimized FeRe2HO structure.

## Properties
For the calculated density, the calculation gives 12.8 g/cm³. The electronic total energy comes out at -5.859 eV/atom.

Cell: 4.5147 4.5147 2.8260 Å, 90.00 90.00 90.00°
Closest atoms and distances in Å follow each position.
Atoms (fractional coordinates):
Fe (0.0000, 0.0000, 0.0000)  2 H 1.41
Re (0.0000, 0.5000, 0.0000)  2 Fe 2.26
Re (0.5000, 0.0000, 0.0000)  2 Fe 2.26
H (0.0000, 0.0000, 0.5000)  2 Fe 1.41
O (0.5000, 0.5000, 0.5000)  8 Re 2.66, 2 O 2.83